# 1
Li2TcIr, relaxed, DFT PBE-GGA; energy of formation = 0.0680 eV/atom; symmetry = R-3m (166); raw total energy = -5.6956 eV/atom
1.0
2.656 0.000 0.000
-1.328 2.300 0.000
0.000 0.000 27.687
Li Tc Ir
6 3 3
Direct
0.000 0.000 0.248
0.000 0.000 0.752
0.333 0.667 0.419
0.333 0.667 0.914
0.667 0.333 0.086
0.667 0.333 0.581
0.000 0.000 0.000
0.333 0.667 0.667
0.667 0.333 0.333
0.000 0.000 0.500
0.333 0.667 0.167
0.667 0.333 0.833

# 2
Li2TcIr2, relaxed, DFT PBE-GGA; energy of formation = 0.4126 eV/atom; symmetry = I4/mmm (139); raw total energy = -5.9705 eV/atom
1.0
4.081 0.000 0.000
0.000 4.081 0.000
0.000 0.000 7.755
Li Tc Ir
4 2 4
Direct
0.000 0.000 0.110
0.000 0.000 0.890
0.500 0.500 0.390
0.500 0.500 0.610
0.000 0.000 0.500
0.500 0.500 0.000
0.000 0.500 0.250
0.000 0.500 0.750
0.500 0.000 0.250
0.500 0.000 0.750

no.,mass density (g/cm³)
1,8.96
2,12.76